Run w
# CuPbWAu, optimized geometry, DFT PBE
data_CuPbWAu
_chemical_formula_sum 'Cu4 Pb4 W4 Au4'
_symmetry_space_group_name_H-M 'F -4 3 m'
_symmetry_Int_Tables_number 216
_symmetry_space_group_name_Hall 'F -4 2 3'
_cell_length_a 6.701
_cell_length_b 6.701
_cell_length_c 6.701
_cell_angle_alpha 90.00
_cell_angle_beta 90.00
_cell_angle_gamma 90.00
loop_
_atom_site_label
_atom_site_type_symbol
_atom_site_fract_x
_atom_site_fract_y
_atom_site_fract_z
_atom_site_occupancy
Cu1 Cu 0.000 0.000 0.000 1
Pb1 Pb 0.250 0.250 0.750 1
W1 W 0.250 0.250 0.250 1
Au1 Au 0.000 0.000 0.500 1
# - Crystal system: cubic

***

Run x
# CuPbWAu, optimized geometry, DFT PBE
data_CuPbWAu
_chemical_formula_sum 'Cu4 Pb4 W4 Au4'
_symmetry_space_group_name_H-M 'F -4 3 m'
_symmetry_Int_Tables_number 216
_symmetry_space_group_name_Hall 'F -4 2 3'
_cell_length_a 6.632
_cell_length_b 6.632
_cell_length_c 6.632
_cell_angle_alpha 90.00
_cell_angle_beta 90.00
_cell_angle_gamma 90.00
loop_
_atom_site_label
_atom_site_type_symbol
_atom_site_fract_x
_atom_site_fract_y
_atom_site_fract_z
_atom_site_occupancy
Cu1 Cu 0.000 0.000 0.000 1
Pb1 Pb 0.250 0.250 0.750 1
W1 W 0.000 0.000 0.500 1
Au1 Au 0.250 0.250 0.250 1
# - Crystal system: cubic

***

Short version: run x is the most stable of them.

***

Run w
# CuAuSe2S2, optimized geometry, DFT PBE
data_CuAuSe2S2
_chemical_formula_sum 'Cu2 Au2 Se4 S4'
_symmetry_space_group_name_H-M 'P 1 21/m 1'
_symmetry_Int_Tables_number 11
_cell_length_a 4.530
_cell_length_b 7.211
_cell_length_c 7.968
_cell_angle_alpha 90.00
_cell_angle_beta 95.56
_cell_angle_gamma 90.00
loop_
_symmetry_equiv_pos_as_xyz
'x,y,z'
'-x,-y,-z'
'-x,y+1/2,-z'
'x,-y+1/2,z'
loop_
_atom_site_label
_atom_site_type_symbol
_atom_site_fract_x
_atom_site_fract_y
_atom_site_fract_z
_atom_site_occupancy
Cu1 Cu 0.072 0.250 0.162 1
Au1 Au 0.500 0.000 0.500 1
Se1 Se 0.071 0.750 0.140 1
Se2 Se 0.141 0.750 0.569 1
S1 S 0.386 0.506 0.198 1
# - Crystal system: monoclinic

***

Run x
# CuAuSe2S2, optimized geometry, DFT PBE
data_CuAuSe2S2
_chemical_formula_sum 'Cu2 Au2 Se4 S4'
_symmetry_space_group_name_H-M 'P 1 21/m 1'
_symmetry_Int_Tables_number 11
_cell_length_a 4.371
_cell_length_b 7.293
_cell_length_c 8.015
_cell_angle_alpha 90.00
_cell_angle_beta 92.76
_cell_angle_gamma 90.00
loop_
_symmetry_equiv_pos_as_xyz
'x,y,z'
'-x,-y,-z'
'-x,y+1/2,-z'
'x,-y+1/2,z'
loop_
_atom_site_label
_atom_site_type_symbol
_atom_site_fract_x
_atom_site_fract_y
_atom_site_fract_z
_atom_site_occupancy
Cu1 Cu 0.002 0.250 0.159 1
Au1 Au 0.500 0.000 0.500 1
Se1 Se 0.395 0.502 0.189 1
S1 S 0.090 0.750 0.128 1
S2 S 0.179 0.750 0.575 1
# - Crystal system: monoclinic

***

Short version: run x is the most stable of them.

***

Run w
# CuAuSe3S, optimized geometry, DFT PBE
data_CuAuSe3S
_chemical_formula_sum 'Cu2 Au2 Se6 S2'
_symmetry_space_group_name_H-M 'P 1 21/m 1'
_symmetry_Int_Tables_number 11
_cell_length_a 4.433
_cell_length_b 7.379
_cell_length_c 8.135
_cell_angle_alpha 90.00
_cell_angle_beta 94.91
_cell_angle_gamma 90.00
loop_
_symmetry_equiv_pos_as_xyz
'x,y,z'
'-x,-y,-z'
'-x,y+1/2,-z'
'x,-y+1/2,z'
loop_
_atom_site_label
_atom_site_type_symbol
_atom_site_fract_x
_atom_site_fract_y
_atom_site_fract_z
_atom_site_occupancy
Cu1 Cu 0.025 0.250 0.151 1
Au1 Au 0.500 0.000 0.500 1
Se1 Se 0.143 0.750 0.571 1
Se2 Se 0.399 0.504 0.190 1
S1 S 0.091 0.750 0.128 1
# - Crystal system: monoclinic

***

Run x
# CuAuSe3S, optimized geometry, DFT PBE
data_CuAuSe3S
_chemical_formula_sum 'Cu2 Au2 Se6 S2'
_symmetry_space_group_name_H-M 'P 1 21/m 1'
_symmetry_Int_Tables_number 11
_cell_length_a 4.375
_cell_length_b 7.470
_cell_length_c 8.084
_cell_angle_alpha 90.00
_cell_angle_beta 91.26
_cell_angle_gamma 90.00
loop_
_symmetry_equiv_pos_as_xyz
'x,y,z'
'-x,-y,-z'
'-x,y+1/2,-z'
'x,-y+1/2,z'
loop_
_atom_site_label
_atom_site_type_symbol
_atom_site_fract_x
_atom_site_fract_y
_atom_site_fract_z
_atom_site_occupancy
Cu1 Cu 0.007 0.250 0.168 1
Au1 Au 0.500 0.000 0.500 1
Se1 Se 0.066 0.750 0.134 1
Se2 Se 0.400 0.004 0.191 1
S1 S 0.182 0.750 0.569 1
# - Crystal system: monoclinic

***

Short version: run x is the most stable of them.

***

Run w
# ScCuAu, optimized geometry, DFT PBE
data_ScCuAu
_chemical_formula_sum 'Sc2 Cu2 Au2'
_symmetry_space_group_name_H-M 'P 4/m m m'
_symmetry_Int_Tables_number 123
_symmetry_space_group_name_Hall '-P 4 2'
_cell_length_a 3.337
_cell_length_b 3.337
_cell_length_c 9.295
_cell_angle_alpha 90.00
_cell_angle_beta 90.00
_cell_angle_gamma 90.00
loop_
_atom_site_label
_atom_site_type_symbol
_atom_site_fract_x
_atom_site_fract_y
_atom_site_fract_z
_atom_site_occupancy
Sc1 Sc 0.000 0.000 0.173 1
Cu1 Cu 0.000 0.000 0.500 1
Cu2 Cu 0.500 0.500 0.000 1
Au1 Au 0.500 0.500 0.344 1
# - Crystal system: tetragonal

***

Run x
# ScCuAu, optimized geometry, DFT PBE
data_ScCuAu
_chemical_formula_sum 'Sc2 Cu2 Au2'
_symmetry_space_group_name_H-M 'I 4 m m'
_symmetry_Int_Tables_number 107
_symmetry_space_group_name_Hall 'I 4 -2'
_cell_length_a 3.435
_cell_length_b 3.435
_cell_length_c 8.622
_cell_angle_alpha 90.00
_cell_angle_beta 90.00
_cell_angle_gamma 90.00
loop_
_atom_site_label
_atom_site_type_symbol
_atom_site_fract_x
_atom_site_fract_y
_atom_site_fract_z
_atom_site_occupancy
Sc1 Sc 0.000 0.000 0.000 1
Cu1 Cu 0.000 0.000 0.334 1
Au1 Au 0.000 0.000 0.669 1
# - Crystal system: tetragonal

***

Run y
# ScCuAu, optimized geometry, DFT PBE
data_ScCuAu
_chemical_formula_sum 'Sc2 Cu2 Au2'
_symmetry_space_group_name_H-M 'P 4/n m m'
_symmetry_Int_Tables_number 129
_cell_length_a 3.391
_cell_length_b 3.391
_cell_length_c 9.223
_cell_angle_alpha 90.00
_cell_angle_beta 90.00
_cell_angle_gamma 90.00
loop_
_symmetry_equiv_pos_as_xyz
'x,y,z'
'-x,-y,-z'
'-y+1/2,x,z'
'y+1/2,-x,-z'
'-x+1/2,-y+1/2,z'
'x+1/2,y+1/2,-z'
'y,-x+1/2,z'
'-y,x+1/2,-z'
'x+1/2,-y,-z'
'-x+1/2,y,z'
'-y,-x,-z'
'y,x,z'
'-x,y+1/2,-z'
'x,-y+1/2,z'
'y+1/2,x+1/2,-z'
'-y+1/2,-x+1/2,z'
loop_
_atom_site_label
_atom_site_type_symbol
_atom_site_fract_x
_atom_site_fract_y
_atom_site_fract_z
_atom_site_occupancy
Sc1 Sc 0.250 0.250 0.112 1
Cu1 Cu 0.250 0.250 0.732 1
Au1 Au 0.250 0.250 0.411 1
# - Crystal system: tetragonal

***

Short version: run x is the most stable of them.